Arrangement P

BaFeH3: optimized geometry, PBE-GGA.

Cell: 4.832 4.832 4.832 Å, 90.00 90.00 90.00°
Atoms (fractional coordinates):
H 0.000 0.000 0.500
Ba 0.000 0.000 0.000
H 0.500 0.000 0.000
H 0.000 0.500 0.000
Fe 0.500 0.500 0.500

Arrangement Q

BaFeH3: optimized geometry, PBE-GGA.

Cell: 3.904 3.904 3.904 Å, 90.00 90.00 90.00°
Atoms (fractional coordinates):
H 0.000 0.500 0.000
Ba 0.500 0.500 0.500
H 0.000 0.000 0.500
Fe 0.000 0.000 0.000
H 0.500 0.000 0.000

Stability, lowest: arrangement P